Model w:
{"formula": "BaIn3Hg3", "functional": "PBE-GGA", "state": "relaxed", "cell": [[8.361, 0.000, 0.000], [4.181, 7.241, 0.000], [4.181, 2.414, 6.792]], "species": ["In", "Hg", "In", "Ba", "Hg", "In", "Hg", "Hg", "In", "In", "Ba", "In", "Hg", "Hg"], "frac_coords": [[0.068, 0.682, 0.563], [0.927, 0.919, 0.828], [0.687, 0.068, 0.563], [0.374, 0.374, 0.877], [0.081, 0.674, 0.172], [0.318, 0.313, 0.437], [0.674, 0.073, 0.172], [0.073, 0.081, 0.172], [0.313, 0.932, 0.437], [0.932, 0.318, 0.437], [0.626, 0.626, 0.123], [0.682, 0.687, 0.563], [0.326, 0.927, 0.828], [0.919, 0.326, 0.828]], "rho_g_cm3": 8.75, "space_group": "No. 148"}

=====

Model x:
{"formula": "BaIn3Hg3", "functional": "PBE-GGA", "state": "relaxed", "cell": [[7.977, 0.000, 0.000], [0.000, 7.977, 0.000], [0.000, 0.000, 7.977]], "species": ["Hg", "In", "Ba", "Hg", "In", "In", "Hg", "Hg", "In", "In", "Hg", "Ba", "In", "Hg"], "frac_coords": [[0.250, 0.000, 0.500], [0.000, 0.250, 0.500], [0.500, 0.500, 0.500], [0.500, 0.750, 0.000], [0.250, 0.500, 0.000], [0.500, 0.000, 0.750], [0.000, 0.500, 0.250], [0.500, 0.250, 0.000], [0.000, 0.750, 0.500], [0.750, 0.500, 0.000], [0.750, 0.000, 0.500], [0.000, 0.000, 0.000], [0.500, 0.000, 0.250], [0.000, 0.500, 0.750]], "rho_g_cm3": 7.09, "space_group": "No. 223"}

=====

We find model w to be the most stable, with the next structure 174 meV/atom higher.

=====

Model w:
{"formula": "BaInHg6", "functional": "PBE-GGA", "state": "relaxed", "cell": [[-3.568, -2.609, -2.799], [4.024, -0.634, -4.539], [2.286, -6.235, 2.898]], "species": ["Ba", "Hg", "Hg", "Hg", "Hg", "Hg", "In", "Hg"], "frac_coords": [[0.000, 0.654, 0.000], [0.500, 0.855, 0.275], [0.000, 0.672, 0.500], [0.500, 0.855, 0.725], [0.500, 0.272, 0.000], [0.000, 0.165, 0.726], [0.500, 0.363, 0.500], [0.000, 0.165, 0.274]], "rho_g_cm3": 10.46, "space_group": "No. 25"}

=====

Model x:
{"formula": "BaInHg6", "functional": "PBE-GGA", "state": "relaxed", "cell": [[5.242, 0.000, 0.000], [0.000, 6.921, 0.233], [0.000, -2.855, 6.309]], "species": ["Hg", "Ba", "Hg", "Hg", "In", "Hg", "Hg", "Hg"], "frac_coords": [[0.000, 0.580, 0.420], [0.500, 0.380, 0.620], [0.500, 0.439, 0.136], [0.500, 0.864, 0.561], [0.000, 0.118, 0.882], [0.000, 0.044, 0.363], [0.000, 0.637, 0.956], [0.500, 0.938, 0.062]], "rho_g_cm3": 10.40, "space_group": "No. 38"}

=====

We find model w to be the most stable, with the next structure 13 meV/atom higher.

=====

Model w:
{"formula": "Ba2In5Hg3", "functional": "PBE-GGA", "state": "relaxed", "cell": [[4.974, 0.000, 0.000], [0.000, 4.974, 0.000], [0.000, 0.000, 12.318]], "species": ["In", "In", "Ba", "Hg", "In", "Ba", "Hg", "In", "In", "Hg"], "frac_coords": [[0.000, 0.500, 0.137], [0.500, 0.500, 0.500], [0.500, 0.000, 0.253], [0.000, 0.500, 0.367], [0.500, 0.500, 0.000], [0.000, 0.500, 0.747], [0.000, 0.000, 0.500], [0.500, 0.000, 0.863], [0.000, 0.000, 0.000], [0.500, 0.000, 0.633]], "rho_g_cm3": 7.90, "space_group": "No. 115"}

=====

Model x:
{"formula": "Ba2In5Hg3", "functional": "PBE-GGA", "state": "relaxed", "cell": [[6.613, 0.000, 2.502], [2.810, 9.212, 2.564], [0.009, -0.034, 9.967]], "species": ["Hg", "Hg", "In", "Ba", "In", "In", "In", "In", "In", "In", "In", "Ba", "Ba", "Hg", "Hg", "Ba", "Hg", "In", "In", "Hg"], "frac_coords": [[0.380, 0.480, 0.760], [0.120, 0.240, 0.520], [0.250, 0.500, 0.500], [0.876, 0.368, 0.881], [0.127, 0.999, 0.746], [0.510, 0.740, 0.740], [0.373, 0.254, 0.001], [0.750, 0.500, 0.500], [0.490, 0.260, 0.260], [0.627, 0.746, 0.999], [0.873, 0.001, 0.254], [0.624, 0.119, 0.632], [0.376, 0.881, 0.368], [0.880, 0.760, 0.480], [0.250, 0.000, 0.000], [0.124, 0.632, 0.119], [0.750, 0.000, 0.000], [0.010, 0.740, 0.740], [0.990, 0.260, 0.260], [0.620, 0.520, 0.240]], "rho_g_cm3": 7.93, "space_group": "No. 72"}

=====

We find model x to be the most stable, with the next structure 15 meV/atom higher.

=====

Model w:
{"formula": "BaIn6Hg2", "functional": "PBE-GGA", "state": "relaxed", "cell": [[-3.556, -0.071, -1.124], [0.430, -5.701, -6.960], [-2.243, -8.561, 1.677]], "species": ["In", "In", "In", "In", "In", "Hg", "In", "Ba", "Hg"], "frac_coords": [[0.688, 0.985, 0.643], [0.688, 0.643, 0.985], [0.312, 0.357, 0.015], [0.312, 0.015, 0.357], [0.500, 0.334, 0.666], [0.143, 0.361, 0.361], [0.500, 0.666, 0.334], [0.000, 0.000, 0.000], [0.857, 0.639, 0.639]], "rho_g_cm3": 7.74, "space_group": "No. 12"}

=====

Model x:
{"formula": "BaIn6Hg2", "functional": "PBE-GGA", "state": "relaxed", "cell": [[-3.658, -0.304, -2.916], [-2.714, -1.412, 3.552], [-2.804, 11.279, 2.342]], "species": ["In", "In", "Hg", "In", "In", "In", "In", "Hg", "Ba"], "frac_coords": [[0.500, 0.000, 0.294], [0.000, 0.500, 0.294], [0.500, 0.500, 0.874], [0.500, 0.500, 0.500], [0.500, 0.000, 0.706], [0.000, 0.000, 0.500], [0.000, 0.500, 0.706], [0.500, 0.500, 0.126], [0.000, 0.000, 0.000]], "rho_g_cm3": 7.82, "space_group": "No. 123"}

=====

We find model x to be the most stable, with the next structure 62 meV/atom higher.

=====

Model w:
{"formula": "Ba3InHg", "functional": "PBE-GGA", "state": "relaxed", "cell": [[-4.893, -0.815, -4.200], [0.459, -6.444, 0.717], [-4.254, 0.243, 4.908]], "species": ["In", "Ba", "Ba", "Ba", "Hg"], "frac_coords": [[0.500, 0.500, 0.500], [0.000, 0.000, 0.500], [0.000, 0.500, 0.000], [0.500, 0.000, 0.000], [0.000, 0.000, 0.000]], "rho_g_cm3": 4.40, "space_group": "No. 221"}

=====

Model x:
{"formula": "Ba3InHg", "functional": "PBE-GGA", "state": "relaxed", "cell": [[10.546, 0.180, 0.135], [0.771, 9.210, -0.927], [0.771, 1.713, 9.097]], "species": ["In", "Ba", "Hg", "Hg", "Ba", "Ba", "Ba", "Ba", "In", "Ba", "Ba", "Hg", "Ba", "In", "Ba", "Hg", "Ba", "In", "Ba", "Ba"], "frac_coords": [[0.250, 0.361, 0.639], [0.176, 0.578, 0.951], [0.119, 0.232, 0.159], [0.381, 0.841, 0.768], [0.910, 0.943, 0.179], [0.824, 0.422, 0.049], [0.676, 0.951, 0.578], [0.090, 0.057, 0.821], [0.750, 0.639, 0.361], [0.077, 0.695, 0.507], [0.923, 0.305, 0.493], [0.619, 0.159, 0.232], [0.410, 0.179, 0.943], [0.250, 0.859, 0.141], [0.423, 0.493, 0.305], [0.881, 0.768, 0.841], [0.590, 0.821, 0.057], [0.750, 0.141, 0.859], [0.577, 0.507, 0.695], [0.324, 0.049, 0.422]], "rho_g_cm3": 5.38, "space_group": "No. 15"}

=====

We find model x to be the most stable, with the next structure 265 meV/atom higher.

=====

Model w:
{"formula": "BaLiInHg2", "functional": "PBE-GGA", "state": "relaxed", "cell": [[-1.755, -1.057, -4.820], [-0.994, -4.935, 1.445], [-4.819, 1.395, 1.448]], "species": ["In", "Ba", "Li", "Hg", "Hg"], "frac_coords": [[0.000, 0.000, 0.500], [0.500, 0.500, 0.500], [0.000, 0.000, 0.000], [0.500, 0.000, 0.000], [0.000, 0.500, 0.000]], "rho_g_cm3": 7.65, "space_group": "No. 123"}

=====

Model x:
{"formula": "BaLiInHg2", "functional": "PBE-GGA", "state": "relaxed", "cell": [[-3.117, -2.513, 2.368], [-0.690, -2.673, -3.744], [6.729, -1.486, 2.711]], "species": ["Li", "Ba", "Hg", "In", "Hg"], "frac_coords": [[0.250, 0.750, 0.500], [0.000, 0.000, 0.000], [0.615, 0.615, 0.230], [0.750, 0.250, 0.500], [0.385, 0.385, 0.770]], "rho_g_cm3": 7.64, "space_group": "No. 119"}

=====

We find model x to be the most stable, with the next structure 89 meV/atom higher.

=====

Model w:
{"formula": "BaIn2NiHg", "functional": "PBE-GGA", "state": "relaxed", "cell": [[5.034, 0.000, 0.000], [0.000, 5.034, 0.000], [0.000, 0.000, 5.940]], "species": ["Hg", "In", "Ba", "Ni", "In"], "frac_coords": [[0.500, 0.500, 0.500], [0.000, 0.500, 0.000], [0.000, 0.000, 0.500], [0.000, 0.000, 0.000], [0.500, 0.000, 0.000]], "rho_g_cm3": 6.91, "space_group": "No. 123"}

=====

Model x:
{"formula": "BaIn2NiHg", "functional": "PBE-GGA", "state": "relaxed", "cell": [[5.072, 0.000, 0.000], [0.000, 5.072, 0.000], [0.000, 0.000, 5.234]], "species": ["Hg", "In", "Ni", "Ba", "In"], "frac_coords": [[0.000, 0.000, 0.500], [0.500, 0.000, 0.000], [0.000, 0.000, 0.000], [0.500, 0.500, 0.500], [0.000, 0.500, 0.000]], "rho_g_cm3": 7.72, "space_group": "No. 123"}

=====

We find model x to be the most stable, with the next structure 61 meV/atom higher.

=====

Model w:
{"formula": "BaIn2HgPb", "functional": "PBE-GGA", "state": "relaxed", "cell": [[-2.979, 1.494, 3.887], [-1.974, -4.641, 0.272], [6.893, -0.070, 1.937]], "species": ["Hg", "In", "Pb", "In", "Ba"], "frac_coords": [[0.830, 0.830, 0.659], [0.057, 0.057, 0.114], [0.194, 0.694, 0.388], [0.693, 0.193, 0.387], [0.439, 0.439, 0.877]], "rho_g_cm3": 8.04, "space_group": "No. 44"}

=====

Model x:
{"formula": "BaIn2HgPb", "functional": "PBE-GGA", "state": "relaxed", "cell": [[-4.852, 4.067, 0.401], [-3.079, -3.228, -4.511], [-3.152, -4.273, 5.209]], "species": ["Ba", "Pb", "Hg", "In", "In"], "frac_coords": [[0.000, 0.000, 0.500], [0.000, 0.000, 0.000], [0.500, 0.500, 0.500], [0.500, 0.000, 0.000], [0.000, 0.500, 0.000]], "rho_g_cm3": 4.30, "space_group": "No. 123"}

=====

We find model w to be the most stable, with the next structure 611 meV/atom higher.

=====

Model w:
{"formula": "BaInHgPb", "functional": "PBE-GGA", "state": "relaxed", "cell": [[-4.345, 3.434, -1.237], [-3.681, -1.437, -4.072], [-5.294, -1.517, 1.368]], "species": ["Ba", "In", "Pb", "Hg"], "frac_coords": [[0.000, 0.000, 0.000], [0.250, 0.250, 0.250], [0.500, 0.500, 0.500], [0.750, 0.750, 0.750]], "rho_g_cm3": 8.48, "space_group": "No. 216"}

=====

Model x:
{"formula": "BaInHgPb", "functional": "PBE-GGA", "state": "relaxed", "cell": [[-4.438, -0.913, 2.135], [3.138, -5.337, -1.631], [2.490, -2.072, 4.289]], "species": ["Pb", "Hg", "Ba", "In"], "frac_coords": [[0.547, 0.094, 0.310], [0.283, 0.565, 0.697], [0.937, 0.875, 0.953], [0.188, 0.376, 0.280]], "rho_g_cm3": 7.45, "space_group": "No. 8"}

=====

We find model w to be the most stable, with the next structure 26 meV/atom higher.

=====

Model w:
{"formula": "BaIn2HgPt", "functional": "PBE-GGA", "state": "relaxed", "cell": [[5.246, 0.000, 0.000], [0.000, 5.246, 0.000], [0.000, 0.000, 5.388]], "species": ["In", "Hg", "In", "Ba", "Pt"], "frac_coords": [[0.000, 0.500, 0.000], [0.000, 0.000, 0.500], [0.500, 0.000, 0.000], [0.500, 0.500, 0.500], [0.000, 0.000, 0.000]], "rho_g_cm3": 8.54, "space_group": "No. 123"}

=====

Model x:
{"formula": "BaIn2HgPt", "functional": "PBE-GGA", "state": "relaxed", "cell": [[-4.178, 3.222, -0.179], [-2.652, -3.262, 3.193], [2.183, 3.107, 4.987]], "species": ["In", "Pt", "Ba", "In", "Hg"], "frac_coords": [[0.500, 0.000, 0.000], [0.000, 0.000, 0.000], [0.000, 0.000, 0.500], [0.000, 0.500, 0.000], [0.500, 0.500, 0.500]], "rho_g_cm3": 7.25, "space_group": "No. 123"}

=====

We find model x to be the most stable, with the next structure 32 meV/atom higher.

=====

Model w:
{"formula": "BaInHg2Pt", "functional": "PBE-GGA", "state": "relaxed", "cell": [[-3.730, 0.621, -2.581], [2.728, -0.317, -4.019], [-0.419, -6.268, 3.158]], "species": ["Ba", "In", "Hg", "Pt", "Hg"], "frac_coords": [[0.436, 0.436, 0.873], [0.200, 0.700, 0.400], [0.706, 0.206, 0.412], [0.823, 0.823, 0.646], [0.046, 0.046, 0.093]], "rho_g_cm3": 10.22, "space_group": "No. 44"}

=====

Model x:
{"formula": "BaInHg2Pt", "functional": "PBE-GGA", "state": "relaxed", "cell": [[5.368, 0.000, 0.000], [0.000, 5.368, 0.000], [0.000, 0.000, 5.194]], "species": ["Ba", "Hg", "Pt", "In", "Hg"], "frac_coords": [[0.500, 0.500, 0.500], [0.000, 0.500, 0.000], [0.000, 0.000, 0.000], [0.000, 0.000, 0.500], [0.500, 0.000, 0.000]], "rho_g_cm3": 9.41, "space_group": "No. 123"}

=====

We find model w to be the most stable, with the next structure 78 meV/atom higher.

=====

Model w:
{"formula": "BaIn2SnHg", "functional": "PBE-GGA", "state": "relaxed", "cell": [[-3.942, 2.086, -2.427], [-1.978, -4.547, -0.694], [-0.027, 1.725, 6.837]], "species": ["In", "Ba", "In", "Sn", "Hg"], "frac_coords": [[0.059, 0.059, 0.117], [0.439, 0.439, 0.879], [0.693, 0.193, 0.386], [0.194, 0.694, 0.388], [0.827, 0.827, 0.654]], "rho_g_cm3": 7.37, "space_group": "No. 44"}

=====

Model x:
{"formula": "BaIn2SnHg", "functional": "PBE-GGA", "state": "relaxed", "cell": [[6.772, 0.000, 0.000], [0.000, 6.195, 0.000], [0.000, 0.000, 6.772]], "species": ["In", "Hg", "In", "Sn", "Ba"], "frac_coords": [[0.500, 0.000, 0.000], [0.500, 0.500, 0.500], [0.000, 0.000, 0.500], [0.000, 0.500, 0.000], [0.000, 0.000, 0.000]], "rho_g_cm3": 4.01, "space_group": "No. 123"}

=====

We find model w to be the most stable, with the next structure 1121 meV/atom higher.